# 1
Compound: NaSbTe
Source: Alexandria
Functional: PBE
Structure: relaxed

```
data_NaSbTe
_cell_length_a 4.642
_cell_length_b 4.504
_cell_length_c 9.457
_cell_angle_alpha 90.00
_cell_angle_beta 100.33
_cell_angle_gamma 90.00
_space_group_name_H-M_alt 'P 1'
_space_group_IT_number 1
_space_group_name_Hall 'P 1'
loop_
_atom_site_label
_atom_site_type_symbol
_atom_site_fract_x
_atom_site_fract_y
_atom_site_fract_z
_atom_site_occupancy
Na1 Na 0.159 0.000 0.156 1
Na2 Na 0.841 0.500 0.844 1
Sb1 Sb 0.212 0.083 0.519 1
Sb2 Sb 0.788 0.583 0.481 1
Te1 Te 0.339 0.002 0.819 1
Te2 Te 0.661 0.502 0.181 1
```

Summary:
formation energy from raw total energies	-456	meV/atom
energy above the lowest structure with this stoichiometry	1	meV/atom

---

# 2
Compound: PrEr5Al6
Source: Alexandria
Functional: PBE
Structure: relaxed

```
data_PrEr5Al6
_cell_length_a 8.838
_cell_length_b 8.838
_cell_length_c 8.838
_cell_angle_alpha 146.40
_cell_angle_beta 132.33
_cell_angle_gamma 59.58
_space_group_name_H-M_alt 'P 1'
_space_group_IT_number 1
_space_group_name_Hall 'P 1'
loop_
_atom_site_label
_atom_site_type_symbol
_atom_site_fract_x
_atom_site_fract_y
_atom_site_fract_z
_atom_site_occupancy
Pr1 Pr 0.000 0.000 0.000 1
Er1 Er 0.163 0.663 0.500 1
Er2 Er 0.331 0.331 0.000 1
Er3 Er 0.500 0.000 0.500 1
Er4 Er 0.669 0.669 0.000 1
Er5 Er 0.837 0.337 0.500 1
Al1 Al 0.088 0.830 0.258 1
Al2 Al 0.267 0.500 0.767 1
Al3 Al 0.429 0.170 0.258 1
Al4 Al 0.571 0.830 0.742 1
Al5 Al 0.733 0.500 0.233 1
Al6 Al 0.912 0.170 0.742 1
```

Summary:
formation energy from the elements	-0.382	eV/atom
density of states at the Fermi level	0.2912	states/eV per atom

---

Number 1: total energy -0.1219 hartree per atom. Number 2: total energy -0.1673 hartree per atom.